{"formula": "Sm2DyRu2", "functional": "GGA-PBE", "state": "relaxed", "lattice_angstrom": [[4.5292, 0.0000, 0.0000], [2.2646, 5.7076, 0.1660], [2.2646, 1.0954, 9.2060]], "species": ["Sm", "Sm", "Sm", "Sm", "Dy", "Dy", "Ru", "Ru", "Ru", "Ru"], "fractional_positions": [[0.3207, 0.2740, 0.0846], [0.5188, 0.6588, 0.3036], [0.6793, 0.7260, 0.9154], [0.4812, 0.3412, 0.6964], [0.7870, 0.0611, 0.3650], [0.2130, 0.9389, 0.6350], [0.9589, 0.1799, 0.9023], [0.1193, 0.3591, 0.4022], [0.8807, 0.6409, 0.5978], [0.0411, 0.8201, 0.0977]], "energy_ev_per_atom": -6.7590}

{"formula": "Tc3P", "functional": "GGA-PBE", "state": "relaxed", "lattice_angstrom": [[-3.5139, 0.9064, -1.1822], [-0.4404, -3.5255, -1.3941], [-1.4231, -1.1471, 3.3505]], "species": ["Tc", "Tc", "Tc", "P"], "fractional_positions": [[0.5000, 0.5000, 0.0000], [0.0000, 0.5000, 0.5000], [0.5000, 0.0000, 0.5000], [0.0000, 0.0000, 0.0000]], "energy_ev_per_atom": -8.8707, "relative_energy_mev_per_atom": 596}

no.,calculated formation energy (eV/atom),D(E_F) (states/eV/cell),total magnetic moment (μB/cell)
1,-0.241,6.13,0.000
2,0.256,6.18,0.000